1.
A plane-wave DFT calculation with PBE was carried out for a geometry-optimized Tl3Bi3Au2 structure.

The total energy comes out at -0.235 Ry per atom. Its formation energy is -0.033 eV/atom.

a b c (Å): 4.7725 11.4797 17.5146
angles (deg): 90.00 90.00 90.00
Closest atoms and distances in Å follow each position.
Space group Cmcm (No. 63)
Symmetry-distinct sites (fractional):
Tl1 0.0000 0.0690 0.1254 [8 per cell]  1 Au 3.14, 2 Bi 3.42
Tl2 0.0000 0.3709 0.2500 [4 per cell]  3 Bi 3.36-3.38, 4 Au 3.52
Bi1 0.0000 0.3347 0.7500 [4 per cell]  2 Au 2.87
Bi2 0.0000 0.3644 0.0262 [8 per cell]  3 Au 2.91-3.02, 1 Bi 3.25
Au1 0.0000 0.2039 0.6105 [8 per cell]  4 Bi 2.87-3.02, 1 Tl 3.14

***

2.
A plane-wave DFT calculation with PBE was carried out for a geometry-optimized Tl12Bi3Au5 structure.

The total energy comes out at -0.204 Ry per atom. Its formation energy is 0.049 eV/atom.

a b c (Å): 17.7610 17.7610 17.7610
angles (deg): 90.00 90.00 90.00
Closest atoms and distances in Å follow each position.
Space group Ia-3d (No. 230)
Symmetry-distinct sites (fractional):
Tl1 0.0217 0.0664 0.6497 [96 per cell]  2 Au 2.82-2.93
Bi1 0.0000 0.2500 0.1250 [24 per cell]  8 Tl 3.31-3.37
Au1 0.0000 0.0000 0.0000 [16 per cell]  6 Tl 2.93
Au2 0.0000 0.2500 0.3750 [24 per cell]  4 Tl 2.82

***

3.
A plane-wave DFT calculation with PBE was carried out for a geometry-optimized TlBiAu2 structure.

The total energy comes out at -0.226 Ry per atom. Its formation energy is 0.131 eV/atom.

a b c (Å): 5.1698 5.1698 17.4718
angles (deg): 90.00 90.00 90.00
Closest atoms and distances in Å follow each position.
Space group I-42d (No. 122)
Symmetry-distinct sites (fractional):
Tl1 0.0000 0.0000 0.0000 [4 per cell]  4 Au 2.90
Bi1 0.0000 0.0000 0.5000 [4 per cell]  4 Au 2.80
Au1 0.2274 0.2500 0.6250 [8 per cell]  2 Bi 2.80, 2 Tl 2.90

***

4.
A plane-wave DFT calculation with PBE was carried out for a geometry-optimized TlBi2Au2 structure.

The value obtained for the relative energy among the computed polymorphs is 66 meV/atom. The total energy comes out at -0.243 Ry per atom. Its formation energy is 0.027 eV/atom.

a b c (Å): 3.9672 3.9672 17.4739
angles (deg): 90.00 90.00 90.00
Closest atoms and distances in Å follow each position.
Space group I4/mmm (No. 139)
Symmetry-distinct sites (fractional):
Tl1 0.0000 0.0000 0.0000 [2 per cell]  8 Bi 3.49
Bi1 0.0000 0.0000 0.3809 [4 per cell]  4 Au 3.03
Au1 0.0000 0.5000 0.2500 [4 per cell]  4 Au 2.81, 4 Bi 3.03

***

5.
A plane-wave DFT calculation with PBE was carried out for a geometry-optimized Tl6Bi2Au structure.

The value obtained for the relative energy among the computed polymorphs is 0 meV/atom. The total energy comes out at -0.207 Ry per atom. Its formation energy is -0.010 eV/atom.

a b c (Å): 8.2805 8.2805 4.7303
angles (deg): 90.00 90.00 120.00
Closest atoms and distances in Å follow each position.
Space group P-62m (No. 189)
Symmetry-distinct sites (fractional):
Tl1 0.0000 0.3901 0.0000 [3 per cell]  1 Au 3.23, 4 Bi 3.48
Tl2 0.0000 0.7577 0.5000 [3 per cell]  2 Au 3.10, 2 Bi 3.20
Bi1 0.3333 0.6667 0.5000 [2 per cell]  9 Tl 3.20-3.48
Au1 0.0000 0.0000 0.0000 [1 per cell]  9 Tl 3.10-3.23

***

6.
A plane-wave DFT calculation with PBE was carried out for a geometry-optimized Tl3Bi2Au4 structure.

The total energy comes out at -0.230 Ry per atom. Its formation energy is -0.027 eV/atom.

a b c (Å): 15.1567 11.0208 5.9970
angles (deg): 90.00 109.74 90.00
Closest atoms and distances in Å follow each position.
Space group C2/c (No. 15)
Symmetry-distinct sites (fractional):
Tl1 0.0000 0.0908 0.2500 [4 per cell]  2 Au 2.98
Tl2 0.0976 0.4027 0.4798 [8 per cell]  4 Au 2.99-3.23, 1 Tl 3.29
Bi1 0.2107 0.1135 0.8330 [8 per cell]  6 Au 2.98-3.17
Au1 0.0842 0.3050 0.9391 [8 per cell]  2 Au 2.78-2.87, 1 Tl 3.03, 2 Bi 3.06-3.08
Au2 0.1982 0.1567 0.3227 [8 per cell]  2 Au 2.87-2.99, 2 Tl 2.98-2.99, 4 Bi 2.98-3.17

***

7.
A plane-wave DFT calculation with PBE was carried out for a geometry-optimized Tl4BiAu structure.

The value obtained for the relative energy among the computed polymorphs is 0 meV/atom. The total energy comes out at -0.205 Ry per atom. Its formation energy is -0.013 eV/atom.

a b c (Å): 6.4421 6.7796 9.2207
angles (deg): 68.46 82.68 89.99
Closest atoms and distances in Å follow each position.
Space group P-1 (No. 2)
Symmetry-distinct sites (fractional):
Tl1 0.0701 0.0378 0.1545 [2 per cell]  2 Au 2.99-3.01, 1 Tl 3.31
Tl2 0.0832 0.4778 0.3178 [2 per cell]  1 Au 3.00
Tl3 0.4177 0.2961 0.6815 [2 per cell]  1 Au 3.00
Tl4 0.4302 0.6926 0.8453 [2 per cell]  2 Au 2.99-3.01, 1 Tl 3.31
Bi1 0.2493 0.9653 0.4999 [2 per cell]  2 Bi 3.25-3.26, 8 Tl 3.39-3.56
Au1 0.0000 0.5000 0.0000 [1 per cell]  6 Tl 2.99-3.01
Au2 0.5000 0.0000 0.0000 [1 per cell]  6 Tl 2.99-3.01

***

8.
A plane-wave DFT calculation with PBE was carried out for a geometry-optimized Tl3BiAu3 structure.

The value obtained for the relative energy among the computed polymorphs is 414 meV/atom. The total energy comes out at -0.189 Ry per atom. Its formation energy is 0.405 eV/atom.

a b c (Å): 7.8850 7.8850 7.8850
angles (deg): 90.00 90.00 90.00
Closest atoms and distances in Å follow each position.
Space group Pm-3n (No. 223)
Symmetry-distinct sites (fractional):
Tl1 0.0000 0.2500 0.5000 [6 per cell]  4 Au 2.79
Bi1 0.0000 0.0000 0.0000 [2 per cell]  12 Tl 4.41, 12 Au 4.41
Au1 0.0000 0.5000 0.2500 [6 per cell]  4 Tl 2.79

***

9.
A plane-wave DFT calculation with PBE was carried out for a geometry-optimized Tl2Bi2Au structure.

The value obtained for the relative energy among the computed polymorphs is 210 meV/atom. The total energy comes out at -0.218 Ry per atom. Its formation energy is 0.191 eV/atom.

a b c (Å): 7.5565 7.5565 5.4092
angles (deg): 90.00 90.00 90.00
Closest atoms and distances in Å follow each position.
Space group P4/mbm (No. 127)
Symmetry-distinct sites (fractional):
Tl1 0.1582 0.3418 0.0000 [4 per cell]  2 Au 2.85
Bi1 0.1430 0.6430 0.5000 [4 per cell]  1 Bi 3.06
Au1 0.0000 0.0000 0.0000 [2 per cell]  4 Tl 2.85

***

10.
A plane-wave DFT calculation with PBE was carried out for a geometry-optimized Tl2Bi2Au structure.

The value obtained for the relative energy among the computed polymorphs is 0 meV/atom. The total energy comes out at -0.233 Ry per atom. Its formation energy is -0.019 eV/atom.

a b c (Å): 6.5583 15.0169 6.0857
angles (deg): 90.00 90.00 90.00
Closest atoms and distances in Å follow each position.
Space group Ibam (No. 72)
Symmetry-distinct sites (fractional):
Tl1 0.1778 0.1794 0.0000 [8 per cell]  2 Au 3.31, 5 Bi 3.50-3.69
Bi1 0.1618 0.4186 0.0000 [8 per cell]  2 Au 2.95, 1 Bi 3.24
Au1 0.0000 0.0000 0.2500 [4 per cell]  4 Bi 2.95, 2 Au 3.04, 4 Tl 3.31